1.
Below is crystalline Sr2Zn3CdAu4 at its relaxed geometry, with properties calculated at the PBE level.

Cell and atoms, written as POSCAR:
```
Sr2Zn3CdAu4
1.0
4.6176 0.0000 0.0000
0.0000 4.6176 0.0000
0.0000 0.0000 10.7529
Au Cd Sr Zn
4 1 2 3
direct
0.0000 0.5000 0.3550 Au
0.0000 0.0000 0.0000 Au
0.5000 0.0000 0.6450 Au
0.5000 0.5000 0.0000 Au
0.5000 0.5000 0.5000 Cd
0.5000 0.0000 0.2378 Sr
0.0000 0.5000 0.7622 Sr
0.0000 0.5000 0.1172 Zn
0.5000 0.0000 0.8828 Zn
0.0000 0.0000 0.5000 Zn
```

## Properties
E_tot   -2.625 eV per atom
Total moment   0.00 μB per cell



2.
Below is crystalline TaCd2Au at its relaxed geometry, with properties calculated at the PBE level.

Cell and atoms, written as POSCAR:
```
TaCd2Au
1.0
-2.1286 -2.7323 -3.5893
0.8076 -2.6090 -4.1738
0.6719 -4.9811 2.3245
Au Ta Cd
1 1 2
direct
0.2467 0.2467 0.2759 Au
0.5029 0.5029 0.4786 Ta
0.7517 0.7517 0.7536 Cd
0.9987 0.9987 0.9919 Cd
```

## Properties
E_tot   -4.044 eV per atom
Total moment   0.00 μB per cell



3.
Below is crystalline Ta2CdAu at its relaxed geometry, with properties calculated at the PBE level.

Cell and atoms, written as POSCAR:
```
Ta2CdAu
1.0
-0.5735 3.0278 -4.2998
0.1405 -5.1953 -0.9874
-2.8568 -0.1337 0.2837
Au Ta Cd
1 2 1
direct
0.5000 0.0000 0.5000 Au
0.5000 0.5000 0.0000 Ta
0.0000 0.0000 0.0000 Ta
0.0000 0.5000 0.5000 Cd
```

## Properties
E_tot   -6.787 eV per atom
Total moment   0.00 μB per cell